Record 1
CaYSc2Se4 | the Alexandria database | PBE | optimized geometry; E_form (uncorrected) = -166.33 kJ per mole of atoms; V = 22.63 Å³ per atom
1.0
-1.501 3.446 1.311
-2.869 -3.298 5.382
4.495 -0.056 5.292
Ca Y Sc Se
1 1 2 4
Direct
0.000 0.500 0.500
0.500 0.500 0.000
0.000 0.000 0.000
0.500 0.000 0.500
0.000 0.766 0.745
0.000 0.234 0.255
0.500 0.766 0.244
0.500 0.234 0.756

***

Record 2
Ca3Y2ScSe6 | the Alexandria database | PBE | optimized geometry; E_form (uncorrected) = -178.04 kJ per mole of atoms; V = 24.43 Å³ per atom
1.0
-2.350 -3.328 0.183
3.926 -3.134 -6.555
5.892 -1.279 6.972
Ca Y Sc Se
3 2 1 6
Direct
0.500 0.500 0.000
0.832 0.166 0.665
0.168 0.834 0.335
0.835 0.669 0.670
0.165 0.331 0.330
0.500 0.000 0.000
0.338 0.918 0.676
0.668 0.581 0.335
0.662 0.082 0.324
0.000 0.237 0.000
0.000 0.763 0.000
0.332 0.419 0.665

***

Record 3
Ca4Y3ScSe8 | the Alexandria database | PBE | optimized geometry; E_form (uncorrected) = -179.00 kJ per mole of atoms; V = 24.60 Å³ per atom
1.0
8.170 0.000 0.000
0.000 8.281 0.072
-4.085 -4.081 5.781
Ca Y Sc Se
4 3 1 8
Direct
0.500 0.000 0.000
0.500 0.000 0.500
0.000 0.000 0.000
0.000 0.000 0.500
0.500 0.500 0.000
0.500 0.500 0.500
0.000 0.500 0.500
0.000 0.500 0.000
0.244 0.742 0.998
0.244 0.742 0.488
0.251 0.253 0.502
0.754 0.742 0.998
0.246 0.258 0.002
0.749 0.747 0.498
0.756 0.258 0.512
0.756 0.258 0.002

***

Record 4
CaZrScSe2 | the Alexandria database | PBE | optimized geometry; E_form (uncorrected) = 43.57 kJ per mole of atoms; V = 27.02 Å³ per atom
1.0
-4.884 1.617 0.742
-1.678 -4.596 -1.028
0.350 -1.253 5.033
Sc Ca Se Zr
1 1 2 1
Direct
0.000 0.500 0.000
0.000 0.000 0.000
0.000 0.000 0.500
0.500 0.000 0.000
0.500 0.500 0.500

***

Record 5
Ca2ScSi | the Alexandria database | PBE | optimized geometry; E_form (uncorrected) = 9.04 kJ per mole of atoms; V = 26.48 Å³ per atom
1.0
5.574 -0.054 0.000
-1.740 5.296 0.000
0.000 0.000 3.600
Ca Sc Si
2 1 1
Direct
0.000 0.000 0.000
0.500 0.500 0.000
0.500 0.000 0.500
0.000 0.500 0.500

***

Record 6
CaSc4Si | the Alexandria database | PBE | optimized geometry; E_form (uncorrected) = 31.47 kJ per mole of atoms; V = 25.17 Å³ per atom
1.0
4.547 0.251 3.871
-0.870 -1.458 5.731
2.343 -5.044 2.189
Ca Sc Si
1 4 1
Direct
0.000 0.000 0.000
0.875 0.375 0.375
0.375 0.375 0.875
0.375 0.875 0.375
0.375 0.375 0.375
0.750 0.750 0.750

***

Record 7
Ca2ScSi | the Alexandria database | PBE | optimized geometry; E_form (uncorrected) = 3.66 kJ per mole of atoms; V = 24.29 Å³ per atom
1.0
-3.262 -3.208 2.386
1.433 -4.852 1.015
0.911 -1.457 4.866
Ca Sc Si
2 1 1
Direct
0.000 0.000 0.000
0.250 0.250 0.250
0.500 0.500 0.500
0.750 0.750 0.750

***

Record 8
Ca3ScSi | the Alexandria database | PBE | optimized geometry; E_form (uncorrected) = 100.84 kJ per mole of atoms; V = 38.52 Å³ per atom
1.0
-0.275 0.898 5.698
-2.431 -5.191 0.701
5.231 -2.365 0.626
Sc Ca Si
1 3 1
Direct
0.000 0.000 0.000
0.000 0.500 0.000
0.000 0.000 0.500
0.500 0.000 0.000
0.500 0.500 0.500

***

Record 9
Ca2ScSi | the Alexandria database | PBE | optimized geometry; E_form (uncorrected) = 9.34 kJ per mole of atoms; V = 34.94 Å³ per atom
1.0
10.288 0.000 0.000
0.000 10.288 0.000
5.144 5.144 2.641
Sc Ca Si
2 4 2
Direct
0.000 0.000 0.000
0.750 0.250 0.500
0.494 0.125 0.250
0.256 0.625 0.250
0.375 0.506 0.750
0.875 0.744 0.750
0.500 0.500 0.000
0.250 0.750 0.500

***

Record 10
Ca2ScSi | the Alexandria database | PBE | optimized geometry; E_form (uncorrected) = 11.00 kJ per mole of atoms; V = 28.60 Å³ per atom
1.0
-9.223 4.715 2.527
-9.897 1.430 3.700
-8.153 3.733 5.769
Ca Sc Si
2 1 1
Direct
0.015 0.015 0.015
0.485 0.485 0.485
0.250 0.250 0.250
0.750 0.750 0.750

***

Record 11
Ca2ScSi | the Alexandria database | PBE | optimized geometry; E_form (uncorrected) = -15.74 kJ per mole of atoms; V = 27.76 Å³ per atom
1.0
6.582 -0.042 0.020
5.595 3.468 0.020
2.127 0.598 4.823
Ca Sc Si
2 1 1
Direct
0.950 0.950 0.050
0.753 0.753 0.747
0.561 0.561 0.439
0.236 0.236 0.264

***

Record 12
Ca2ScSi | the Alexandria database | PBE | optimized geometry; E_form (uncorrected) = -2.41 kJ per mole of atoms; V = 24.96 Å³ per atom
1.0
5.945 0.010 0.000
2.606 5.343 0.000
-4.275 -2.677 3.146
Ca Sc Si
2 1 1
Direct
0.000 0.000 0.000
0.500 0.500 0.000
0.250 0.750 0.500
0.750 0.250 0.500

***

no.,E_tot (eV per atom)
1,-6.107
2,-5.693
3,-5.706
4,-4.318
5,-3.846
6,-5.132
7,-3.901
8,-2.507
9,-3.843
10,-3.825
11,-4.103
12,-3.964